No. 1
This record from Alexandria via LeMat-Bulk describes a relaxed structure of TbNd2Y6Er. The functional is PBE-GGA.

Unit cell a=9.784 b=8.792 c=8.792 alpha=117.77 beta=94.98 gamma=94.98
Sites, in units of the cell vectors:
Er: 0.250 0.406 0.594
Y: 0.943 0.877 0.254
Y: 0.686 0.019 0.575
Tb: 0.750 0.018 0.982
Y: 0.443 0.254 0.877
Y: 0.118 0.705 0.496
Y: 0.186 0.575 0.019
Y: 0.882 0.295 0.504
Nd: 0.044 0.294 0.194
Y: 0.382 0.504 0.295
Y: 0.557 0.746 0.123
Nd: 0.956 0.706 0.806
Nd: 0.544 0.194 0.294
Y: 0.314 0.981 0.425
Nd: 0.456 0.806 0.706
Tb: 0.250 0.982 0.018
Y: 0.618 0.496 0.705
Y: 0.814 0.425 0.981
Er: 0.750 0.594 0.406
Y: 0.057 0.123 0.746

Values from the calculation:
SG: C2/c, No. 15



No. 2
This record from Alexandria via LeMat-Bulk describes a relaxed structure of TbNd2Y2Er. The functional is PBE-GGA.

Unit cell a=5.670 b=9.811 c=7.084 alpha=90.00 beta=90.00 gamma=90.00
Sites, in units of the cell vectors:
Tb: 0.500 0.500 0.000
Er: 0.000 0.000 0.000
Nd: 0.500 0.834 0.751
Y: 0.000 0.333 0.250
Er: 0.500 0.500 0.500
Tb: 0.000 0.000 0.500
Y: 0.500 0.833 0.250
Y: 0.500 0.167 0.750
Nd: 0.500 0.166 0.249
Y: 0.000 0.667 0.750
Nd: 0.000 0.334 0.749
Nd: 0.000 0.666 0.251

Values from the calculation:
SG: Pnnm, No. 58



No. 3
This record from Alexandria via LeMat-Bulk describes a relaxed structure of TbNd3YEr. The functional is PBE-GGA.

Unit cell a=5.909 b=6.476 c=11.813 alpha=90.00 beta=90.00 gamma=117.14
Sites, in units of the cell vectors:
Nd: 0.668 0.335 0.026
Y: 0.169 0.338 0.250
Nd: 0.668 0.335 0.474
Nd: 0.135 0.270 0.750
Er: 0.522 0.044 0.750
Er: 0.478 0.956 0.250
Tb: 0.000 0.000 0.000
Tb: 0.000 0.000 0.500
Y: 0.831 0.662 0.750
Nd: 0.332 0.665 0.526
Nd: 0.332 0.665 0.974
Nd: 0.865 0.730 0.250

Values from the calculation:
SG: Cmcm, No. 63



| no. | DFT total energy (eV/atom) |
| --- | --- |
| 1 | -5.6396 |
| 2 | -5.2085 |
| 3 | -4.8775 |